No. 1
## SmPuZr2 (GGA-PBE)

Data for a geometry-optimized SmPuZr2 structure.

POSCAR file:
```
SmPuZr2
1.0
3.816 0.000 0.000
0.000 3.816 0.000
0.000 0.000 7.151
Sm Pu Zr
1 1 2
Cartesian
0.000 0.000 0.000
0.000 0.000 3.576
1.908 1.908 2.062
1.908 1.908 5.090
```

The calculated formation energy comes out at 0.1940 eV/atom. Its density is 9.200 g/cm3. As for the space-group type: No. 123. The calculation puts the relative energy among the computed polymorphs at 9 meV per atom. For the density of states at the Fermi level, the calculation gives 8.4 states/eV/cell.


No. 2
## LaCoTe2N (GGA-PBE)

Data for a geometry-optimized LaCoTe2N structure.

POSCAR file:
```
LaCoTe2N
1.0
5.456 0.000 0.000
0.000 5.456 0.000
0.000 0.000 3.624
La Co Te N
1 1 2 1
Cartesian
0.000 0.000 0.000
2.728 2.728 1.812
0.000 2.728 1.812
2.728 0.000 1.812
2.728 2.728 0.000
```

Its density is 7.189 g/cm3. As for the space-group type: No. 123. The calculation puts the formation energy without anion corrections at -348 meV per atom. The calculation puts the relative energy among the computed polymorphs at 0 meV per atom. For the density of states at the Fermi level, the calculation gives 3.3 states/eV/cell.